Crystalline Cs2GaSbSe4 at its relaxed geometry, computed with PBE.

E_form (uncorrected)   -758 meV per atom
E_tot   -230.88 eV/cell

Cell lengths 6.6401, 15.0396, 25.8612 Å; angles 90.00, 90.00, 90.00 degrees
Last column: nearest neighbours and their distance in Å.
Space group Fddd (No. 70, origin choice 2)
Asymmetric unit:
Cs (0.1250, 0.1250, 0.3051) [16 per cell]  8 Se 3.87-4.26
Ga (0.1250, 0.1250, 0.6250) [8 per cell]  4 Se 2.46
Sb (0.1250, 0.1250, 0.1250) [8 per cell]  4 Se 2.77
Se (0.0889, 0.2783, 0.8211) [32 per cell]  1 Ga 2.46